1.
Entry from the Alexandria database: crystalline Na3Ag2I3Cl2 at its relaxed geometry (PBE).

a b c (Å): 4.6217 4.6217 29.4383
angles (deg): 90.00 90.00 90.00
Space group I4/mmm (No. 139)
Symmetry-distinct sites (fractional):
1 Na 0.0000 0.0000 0.0000 [2 per cell]
2 Na 0.0000 0.0000 0.3930 [4 per cell]
3 Ag 0.0000 0.5000 0.2500 [4 per cell]
4 I 0.0000 0.0000 0.1124 [4 per cell]
5 I 0.0000 0.0000 0.5000 [2 per cell]
6 Cl 0.0000 0.0000 0.2947 [4 per cell]

The value obtained for the magnetic moment is 0.0 Bohr magnetons per cell. For the uncorrected energy, the calculation gives -2.7021 eV/atom.

=====

2.
Entry from the Alexandria database: crystalline AlZn2Cu12 at its relaxed geometry (PBE).

a b c (Å): 4.8271 4.8271 17.7295
angles (deg): 90.00 90.00 90.00
Space group P4/nbm (No. 125, origin choice 2)
Symmetry-distinct sites (fractional):
1 Al 0.2500 0.7500 0.0000 [2 per cell]
2 Zn 0.2500 0.7500 0.2764 [4 per cell]
3 Cu 0.9999 0.0001 0.1062 [8 per cell]
4 Cu 0.0745 0.5745 0.4386 [8 per cell]
5 Cu 0.2500 0.2500 0.2090 [4 per cell]
6 Cu 0.2500 0.2500 0.3414 [4 per cell]

The value obtained for the magnetic moment is 0.0 Bohr magnetons per cell. The formation energy from the elements comes out at 0.1499 eV per atom. For the uncorrected energy, the calculation gives -3.5464 eV/atom.

=====

3.
Entry from the Alexandria database: crystalline MgZr2TcCl at its relaxed geometry (PBE).

a b c (Å): 5.2446 5.2446 4.2215
angles (deg): 90.00 90.00 90.00
Space group P4/mmm (No. 123)
Symmetry-distinct sites (fractional):
1 Mg 0.0000 0.0000 0.0000 [1 per cell]
2 Zr 0.0000 0.5000 0.0000 [2 per cell]
3 Tc 0.5000 0.5000 0.5000 [1 per cell]
4 Cl 0.0000 0.0000 0.5000 [1 per cell]

The value obtained for the magnetic moment is 0.0 Bohr magnetons per cell. For the uncorrected energy, the calculation gives -4.8004 eV/atom.

=====

4.
Entry from the Alexandria database: crystalline P2IrPt at its relaxed geometry (PBE).

a b c (Å): 2.7695 4.9429 8.6238
angles (deg): 90.00 90.00 90.00
Space group Cmmm (No. 65)
Symmetry-distinct sites (fractional):
1 P 0.0000 0.0000 0.2418 [4 per cell]
2 Ir 0.0000 0.5000 0.0000 [2 per cell]
3 Pt 0.0000 0.5000 0.5000 [2 per cell]

The value obtained for the magnetic moment is 0.0 Bohr magnetons per cell. The energy above the most stable polymorph in this dataset comes out at 676 meV/atom. The formation energy from the elements comes out at 0.2893 eV per atom. For the uncorrected energy, the calculation gives -6.1411 eV/atom.

=====

5.
Entry from the Alexandria database: crystalline BiTeRhO2 at its relaxed geometry (PBE).

a b c (Å): 3.9813 3.9813 6.4349
angles (deg): 90.00 90.00 90.00
Space group P4/mmm (No. 123)
Symmetry-distinct sites (fractional):
1 Bi 0.0000 0.0000 0.0000 [1 per cell]
2 Te 0.0000 0.0000 0.5000 [1 per cell]
3 Rh 0.5000 0.5000 0.0000 [1 per cell]
4 O 0.0000 0.5000 0.5000 [2 per cell]

The value obtained for the magnetic moment is 0.8 Bohr magnetons per cell. The energy above the most stable polymorph in this dataset comes out at 10 meV/atom. For the uncorrected energy, the calculation gives -4.8436 eV/atom.

=====

6.
Entry from the Alexandria database: crystalline IrW2Br at its relaxed geometry (PBE).

a b c (Å): 2.9090 4.6804 9.4765
angles (deg): 90.00 90.00 90.00
Space group Imm2 (No. 44)
Symmetry-distinct sites (fractional):
1 Ir 0.0000 0.0000 0.0000 [2 per cell]
2 W 0.0000 0.0000 0.5245 [2 per cell]
3 W 0.0000 0.5000 0.7458 [2 per cell]
4 Br 0.0000 0.5000 0.2487 [2 per cell]

The value obtained for the magnetic moment is 0.0 Bohr magnetons per cell. The energy above the most stable polymorph in this dataset comes out at 283 meV/atom. For the uncorrected energy, the calculation gives -8.3369 eV/atom.

=====

no.,density (kg/m³)
1,3889
2,7399
3,4865
4,12638
5,7676
6,16468